Record 1
DFT (GGA-PBE) results for crystalline CuCO3 at its relaxed geometry.

Formation energy from raw total energies = -0.874 eV per atom
E_tot = -6.513 eV/atom
Calculated volume = 11.9 Å³/atom

Lattice parameters (Å, degrees): 8.201 4.806 3.073 90.00 100.13 90.00
Space group Cm (No. 8)
Unique sites:
Cu  0.000  0.000  0.000 [2 per cell]
C  0.087  0.500  0.647 [2 per cell]
O  0.005  0.267  0.515 [4 per cell]
O  0.220  0.500  0.916 [2 per cell]

=====

Record 2
DFT (GGA-PBE) results for crystalline K2TlHg at its relaxed geometry.

Formation enthalpy at 0 K = -0.031 eV/atom
E_tot = -1.247 eV/atom
Calculated volume = 40.6 Å³/atom

Lattice parameters (Å, degrees): 4.1321 4.1321 32.9572 90.00 90.00 120.00
Space group R-3m (No. 166, hexagonal axes)
Unique sites:
K  0.0000  0.0000  0.2482 [6 per cell]
Tl  0.0000  0.0000  0.0000 [3 per cell]
Hg  0.0000  0.0000  0.5000 [3 per cell]

=====

Record 3
DFT (GGA-PBE) results for crystalline PaTcH2O6 at its relaxed geometry.

E_tot = -7.545 eV/atom
Calculated volume = 12.7 Å³/atom

Lattice parameters (Å, degrees): 5.388 5.404 5.733 90.54 116.94 117.46
Space group P-1 (No. 2)
Unique sites:
Pa  0.000  0.000  0.000 [1 per cell]
Tc  0.000  0.500  0.500 [1 per cell]
H  0.476  0.415  0.675 [2 per cell]
O  0.101  0.837  0.766 [2 per cell]
O  0.124  0.739  0.303 [2 per cell]
O  0.472  0.583  0.734 [2 per cell]

=====

Which value of calculated volume does entry 1 give?
11.9 Å³/atom